Record 1
Computed, not measured: a geometry-optimized Pr2TlSn3Rh4 structure at the PBE level of DFT.

Lattice parameters (Å, degrees): 4.522 4.522 10.837 90.00 90.00 90.00
Element x y z (fractional)
1 Pr 0.000 0.500 0.246
2 Pr 0.500 0.000 0.754
3 Tl 0.000 0.000 0.500
4 Sn 0.000 0.500 0.873
5 Sn 0.500 0.000 0.127
6 Sn 0.500 0.500 0.500
7 Rh 0.000 0.000 0.000
8 Rh 0.000 0.500 0.637
9 Rh 0.500 0.000 0.363
10 Rh 0.500 0.500 0.000

Results
Formation energy from the elements ... -576 kJ/mol of formula units



Record 2
Computed, not measured: a geometry-optimized PmTh5Sn6 structure at the PBE level of DFT.

Lattice parameters (Å, degrees): 7.836 7.836 7.840 99.59 99.59 119.99
Element x y z (fractional)
1 Pm 0.000 0.000 0.000
2 Th 0.167 0.833 0.500
3 Th 0.334 0.666 0.000
4 Th 0.500 0.500 0.500
5 Th 0.666 0.334 0.000
6 Th 0.833 0.167 0.500
7 Sn 0.083 0.415 0.249
8 Sn 0.249 0.249 0.750
9 Sn 0.415 0.083 0.249
10 Sn 0.585 0.917 0.751
11 Sn 0.751 0.751 0.250
12 Sn 0.917 0.585 0.751

Results
Formation energy from the elements ... -592 kJ/mol of formula units



Record 3
Computed, not measured: a geometry-optimized Sm2Pd4Se5 structure at the PBE level of DFT.

Lattice parameters (Å, degrees): 16.799 16.799 16.799 14.37 14.37 14.37
Element x y z (fractional)
1 Sm 0.129 0.129 0.129
2 Sm 0.871 0.871 0.871
3 Pd 0.317 0.317 0.317
4 Pd 0.420 0.420 0.420
5 Pd 0.580 0.580 0.580
6 Pd 0.683 0.683 0.683
7 Se 0.236 0.236 0.236
8 Se 0.368 0.368 0.368
9 Se 0.500 0.500 0.500
10 Se 0.632 0.632 0.632
11 Se 0.764 0.764 0.764

Results
E_form (uncorrected) ... -0.88 eV/atom



Record 4
Computed, not measured: a geometry-optimized Y4Al12Ga structure at the PBE level of DFT.

Lattice parameters (Å, degrees): 7.579 7.579 7.579 109.47 109.47 109.47
Element x y z (fractional)
1 Y 0.000 0.000 0.500
2 Y 0.000 0.500 0.000
3 Y 0.500 0.000 0.000
4 Y 0.500 0.500 0.500
5 Al 0.000 0.308 0.308
6 Al 0.000 0.692 0.692
7 Al 0.250 0.500 0.750
8 Al 0.250 0.750 0.500
9 Al 0.308 0.000 0.308
10 Al 0.308 0.308 0.000
11 Al 0.500 0.250 0.750
12 Al 0.500 0.750 0.250
13 Al 0.692 0.000 0.692
14 Al 0.692 0.692 0.000
15 Al 0.750 0.250 0.500
16 Al 0.750 0.500 0.250
17 Ga 0.000 0.000 0.000

Results
Formation energy from the elements ... -597 kJ/mol of formula units



Record 5
Computed, not measured: a geometry-optimized K4TeIr structure at the PBE level of DFT.

Lattice parameters (Å, degrees): 6.514 6.514 6.514 60.00 60.00 60.00
Element x y z (fractional)
1 K 0.125 0.125 0.125
2 K 0.125 0.125 0.626
3 K 0.125 0.626 0.125
4 K 0.626 0.125 0.125
5 Te 0.750 0.750 0.750
6 Ir 0.500 0.500 0.500

Results
E_form (uncorrected) ... 0.59 eV/atom



Record 6
Computed, not measured: a geometry-optimized CsNp2Cl8 structure at the PBE level of DFT.

Lattice parameters (Å, degrees): 7.836 7.836 5.494 94.57 94.57 113.50
Element x y z (fractional)
1 Cs 0.000 0.000 0.000
2 Np 0.324 0.676 0.500
3 Np 0.676 0.324 0.500
4 Cl 0.047 0.331 0.564
5 Cl 0.272 0.728 0.000
6 Cl 0.331 0.047 0.564
7 Cl 0.410 0.410 0.234
8 Cl 0.590 0.590 0.766
9 Cl 0.669 0.953 0.436
10 Cl 0.728 0.272 0.000
11 Cl 0.953 0.669 0.436

Results
E_form (uncorrected) ... -1.76 eV/atom



Record 7
Computed, not measured: a geometry-optimized Ba3As2 structure at the PBE level of DFT.

Lattice parameters (Å, degrees): 8.890 8.392 9.970 57.14 52.46 70.40
Element x y z (fractional)
1 Ba 0.000 0.000 0.000
2 Ba 0.115 0.513 0.574
3 Ba 0.250 0.250 0.250
4 Ba 0.452 0.676 0.737
5 Ba 0.513 0.115 0.798
6 Ba 0.676 0.452 0.135
7 As 0.133 0.376 0.944
8 As 0.306 0.704 0.117
9 As 0.376 0.133 0.546
10 As 0.704 0.306 0.874

Results
Formation energy from the elements ... -456 kJ/mol of formula units
Energy above the lowest structure with this stoichiometry ... 0.1058 eV/atom



Record 8
Computed, not measured: a geometry-optimized Cs2TmCl5 structure at the PBE level of DFT.

Lattice parameters (Å, degrees): 9.748 7.513 15.451 90.00 90.00 90.00
Element x y z (fractional)
1 Cs 0.028 0.250 0.212
2 Cs 0.162 0.750 0.415
3 Cs 0.338 0.250 0.915
4 Cs 0.472 0.750 0.712
5 Cs 0.528 0.250 0.288
6 Cs 0.662 0.750 0.085
7 Cs 0.838 0.250 0.585
8 Cs 0.972 0.750 0.788
9 Tm 0.176 0.750 0.063
10 Tm 0.324 0.250 0.563
11 Tm 0.676 0.750 0.437
12 Tm 0.824 0.250 0.937
13 Cl 0.000 0.000 0.000
14 Cl 0.000 0.500 0.000
15 Cl 0.023 0.750 0.198
16 Cl 0.169 0.000 0.616
17 Cl 0.169 0.500 0.616
18 Cl 0.217 0.250 0.407
19 Cl 0.283 0.750 0.907
20 Cl 0.331 0.000 0.116
21 Cl 0.331 0.500 0.116
22 Cl 0.477 0.250 0.698
23 Cl 0.500 0.000 0.500
24 Cl 0.500 0.500 0.500
25 Cl 0.523 0.750 0.302
26 Cl 0.669 0.000 0.884
27 Cl 0.669 0.500 0.884
28 Cl 0.717 0.250 0.093
29 Cl 0.783 0.750 0.593
30 Cl 0.831 0.000 0.384
31 Cl 0.831 0.500 0.384
32 Cl 0.977 0.250 0.802

Results
Energy above the lowest structure with this stoichiometry ... 0.0000 eV/atom
E_form (uncorrected) ... -2.21 eV/atom



Record 9
Computed, not measured: a geometry-optimized Sr3GaGe2 structure at the PBE level of DFT.

Lattice parameters (Å, degrees): 12.608 4.424 13.139 90.00 90.00 90.00
Element x y z (fractional)
1 Sr 0.072 0.250 0.117
2 Sr 0.121 0.750 0.553
3 Sr 0.192 0.250 0.803
4 Sr 0.308 0.750 0.303
5 Sr 0.379 0.250 0.053
6 Sr 0.428 0.750 0.617
7 Sr 0.572 0.250 0.383
8 Sr 0.621 0.750 0.947
9 Sr 0.692 0.250 0.697
10 Sr 0.808 0.750 0.197
11 Sr 0.879 0.250 0.447
12 Sr 0.928 0.750 0.883
13 Ga 0.142 0.250 0.354
14 Ga 0.358 0.750 0.854
15 Ga 0.642 0.250 0.146
16 Ga 0.858 0.750 0.646
17 Ge 0.034 0.750 0.318
18 Ge 0.198 0.750 0.984
19 Ge 0.302 0.250 0.484
20 Ge 0.466 0.250 0.818
21 Ge 0.534 0.750 0.182
22 Ge 0.698 0.750 0.516
23 Ge 0.802 0.250 0.016
24 Ge 0.966 0.250 0.682

Results
Formation energy from the elements ... -310 kJ/mol of formula units



Record 10
Computed, not measured: a geometry-optimized Na2SnF5 structure at the PBE level of DFT.

Lattice parameters (Å, degrees): 5.371 5.530 6.203 71.85 72.37 74.65
Element x y z (fractional)
1 Na 0.000 0.000 0.000
2 Na 0.265 0.269 0.493
3 Sn 0.758 0.761 0.595
4 F 0.062 0.653 0.314
5 F 0.451 0.966 0.811
6 F 0.658 0.074 0.317
7 F 0.958 0.436 0.804
8 F 0.998 0.964 0.634

Results
E_form (uncorrected) ... -2.47 eV/atom



Record 11
Computed, not measured: a geometry-optimized La3BiN structure at the PBE level of DFT.

Lattice parameters (Å, degrees): 6.687 6.687 9.572 111.83 111.83 45.58
Element x y z (fractional)
1 La 0.110 0.110 0.186
2 La 0.128 0.128 0.669
3 La 0.355 0.355 0.063
4 La 0.645 0.645 0.937
5 La 0.872 0.872 0.331
6 La 0.890 0.890 0.814
7 Bi 0.393 0.393 0.585
8 Bi 0.607 0.607 0.415
9 N 0.117 0.117 0.926
10 N 0.883 0.883 0.074

Results
E_form (uncorrected) ... -0.90 eV/atom



Record 12
Computed, not measured: a geometry-optimized V3CrSe6 structure at the PBE level of DFT.

Lattice parameters (Å, degrees): 6.766 6.766 6.766 56.57 56.57 56.57
Element x y z (fractional)
1 V 0.000 0.000 0.000
2 V 0.177 0.177 0.177
3 V 0.675 0.675 0.675
4 Cr 0.496 0.496 0.496
5 Se 0.087 0.414 0.769
6 Se 0.268 0.913 0.587
7 Se 0.414 0.769 0.087
8 Se 0.587 0.268 0.913
9 Se 0.769 0.087 0.414
10 Se 0.913 0.587 0.268

Results
E_form (uncorrected) ... -0.62 eV/atom



Record 13
Computed, not measured: a geometry-optimized CSe2Cl structure at the PBE level of DFT.

Lattice parameters (Å, degrees): 3.250 3.250 23.611 90.00 90.00 120.00
Element x y z (fractional)
1 C 0.000 0.000 0.000
2 C 0.333 0.667 0.667
3 C 0.667 0.333 0.333
4 Se 0.000 0.000 0.393
5 Se 0.000 0.000 0.607
6 Se 0.333 0.667 0.060
7 Se 0.333 0.667 0.274
8 Se 0.667 0.333 0.726
9 Se 0.667 0.333 0.940
10 Cl 0.000 0.000 0.500
11 Cl 0.333 0.667 0.167
12 Cl 0.667 0.333 0.833

Results
Energy above the lowest structure with this stoichiometry ... 0.5268 eV/atom
E_form (uncorrected) ... 1.11 eV/atom



Record 14
Computed, not measured: a geometry-optimized Nb2SiB structure at the PBE level of DFT.

Lattice parameters (Å, degrees): 4.924 3.354 6.984 90.00 109.84 90.00
Element x y z (fractional)
1 Nb 0.201 0.250 0.414
2 Nb 0.262 0.750 0.061
3 Nb 0.738 0.250 0.939
4 Nb 0.799 0.750 0.586
5 Si 0.358 0.750 0.717
6 Si 0.642 0.250 0.283
7 B 0.136 0.250 0.787
8 B 0.864 0.750 0.213

Results
Energy above the lowest structure with this stoichiometry ... 0.0000 eV/atom
E_form (uncorrected) ... -0.62 eV/atom



Record 15
Computed, not measured: a geometry-optimized Si2MoP structure at the PBE level of DFT.

Lattice parameters (Å, degrees): 3.304 4.877 7.393 90.00 90.00 90.00
Element x y z (fractional)
1 Si 0.000 0.000 0.000
2 Si 0.000 0.500 0.250
3 Si 0.500 0.000 0.250
4 Si 0.500 0.500 0.000
5 Mo 0.000 0.500 0.743
6 Mo 0.500 0.000 0.743
7 P 0.000 0.000 0.502
8 P 0.500 0.500 0.502

Results
E_form (uncorrected) ... 0.29 eV/atom



Record 16
Computed, not measured: a geometry-optimized VNi2SnH structure at the PBE level of DFT.

Lattice parameters (Å, degrees): 3.839 3.839 3.914 90.00 90.00 90.00
Element x y z (fractional)
1 V 0.000 0.000 0.000
2 Ni 0.000 0.500 0.500
3 Ni 0.500 0.000 0.500
4 Sn 0.500 0.500 0.000
5 H 0.000 0.000 0.500

Results
Energy above the lowest structure with this stoichiometry ... 0.0000 eV/atom



Record 17
Computed, not measured: a geometry-optimized NaIn12Pb6 structure at the PBE level of DFT.

Lattice parameters (Å, degrees): 8.910 8.910 8.910 106.71 106.71 106.71
Element x y z (fractional)
1 Na 0.000 0.000 0.000
2 In 0.109 0.500 0.891
3 In 0.109 0.891 0.500
4 In 0.111 0.342 0.342
5 In 0.342 0.111 0.342
6 In 0.342 0.342 0.111
7 In 0.500 0.109 0.891
8 In 0.500 0.891 0.109
9 In 0.658 0.658 0.889
10 In 0.658 0.889 0.658
11 In 0.889 0.658 0.658
12 In 0.891 0.109 0.500
13 In 0.891 0.500 0.109
14 Pb 0.286 0.690 0.690
15 Pb 0.310 0.310 0.714
16 Pb 0.310 0.714 0.310
17 Pb 0.690 0.286 0.690
18 Pb 0.690 0.690 0.286
19 Pb 0.714 0.310 0.310

Results
Formation energy from the elements ... 123 kJ/mol of formula units
Energy above the lowest structure with this stoichiometry ... 0.0291 eV/atom



Record 18
Computed, not measured: a geometry-optimized TmInNiAu structure at the PBE level of DFT.

Lattice parameters (Å, degrees): 6.733 6.733 6.733 90.00 90.00 90.00
Element x y z (fractional)
1 Tm 0.000 0.000 0.000
2 Tm 0.000 0.500 0.500
3 Tm 0.500 0.000 0.500
4 Tm 0.500 0.500 0.000
5 In 0.000 0.000 0.500
6 In 0.000 0.500 0.000
7 In 0.500 0.000 0.000
8 In 0.500 0.500 0.500
9 Ni 0.250 0.250 0.250
10 Ni 0.250 0.750 0.750
11 Ni 0.750 0.250 0.750
12 Ni 0.750 0.750 0.250
13 Au 0.250 0.250 0.750
14 Au 0.250 0.750 0.250
15 Au 0.750 0.250 0.250
16 Au 0.750 0.750 0.750

Results
Formation energy from the elements ... -190 kJ/mol of formula units



Record 19
Computed, not measured: a geometry-optimized Cs2LiPbCl6 structure at the PBE level of DFT.

Lattice parameters (Å, degrees): 7.568 7.568 7.568 60.00 60.00 60.00
Element x y z (fractional)
1 Cs 0.250 0.250 0.250
2 Cs 0.750 0.750 0.750
3 Li 0.000 0.000 0.000
4 Pb 0.500 0.500 0.500
5 Cl 0.245 0.245 0.755
6 Cl 0.245 0.755 0.245
7 Cl 0.245 0.755 0.755
8 Cl 0.755 0.245 0.245
9 Cl 0.755 0.245 0.755
10 Cl 0.755 0.755 0.245

Results
E_form (uncorrected) ... -1.51 eV/atom



Record 20
Computed, not measured: a geometry-optimized RbCe2PrTe4 structure at the PBE level of DFT.

Lattice parameters (Å, degrees): 8.087 4.557 8.099 90.00 108.46 90.00
Element x y z (fractional)
1 Rb 0.000 0.000 0.000
2 Ce 0.000 0.500 0.500
3 Ce 0.500 0.000 0.500
4 Pr 0.500 0.500 0.000
5 Te 0.257 0.000 0.742
6 Te 0.269 0.500 0.269
7 Te 0.731 0.500 0.731
8 Te 0.743 0.000 0.258

Results
E_form (uncorrected) ... -1.31 eV/atom



Record 21
Computed, not measured: a geometry-optimized Tb3GdO structure at the PBE level of DFT.

Lattice parameters (Å, degrees): 4.961 4.961 4.961 90.00 90.00 90.00
Element x y z (fractional)
1 Tb 0.000 0.000 0.500
2 Tb 0.000 0.500 0.000
3 Tb 0.500 0.000 0.000
4 Gd 0.500 0.500 0.500
5 O 0.000 0.000 0.000

Results
E_form (uncorrected) ... -1.09 eV/atom



Record 22
Computed, not measured: a geometry-optimized ReSbBr2 structure at the PBE level of DFT.

Lattice parameters (Å, degrees): 5.219 14.218 3.329 90.00 90.00 90.00
Element x y z (fractional)
1 Re 0.000 0.000 0.000
2 Re 0.500 0.500 0.000
3 Sb 0.000 0.500 0.000
4 Sb 0.500 0.000 0.000
5 Br 0.000 0.140 0.500
6 Br 0.000 0.860 0.500
7 Br 0.500 0.360 0.500
8 Br 0.500 0.640 0.500

Results
Energy above the lowest structure with this stoichiometry ... 0.0134 eV/atom
E_form (uncorrected) ... 0.25 eV/atom



| no. | density (kg/m³) |
| --- | --- |
| 1 | 9394 |
| 2 | 8522 |
| 3 | 7320 |
| 4 | 3711 |
| 5 | 4047 |
| 6 | 4832 |
| 7 | 3767 |
| 8 | 3592 |
| 9 | 4330 |
| 10 | 2632 |
| 11 | 7596 |
| 12 | 5587 |
| 13 | 4737 |
| 14 | 6878 |
| 15 | 5104 |
| 16 | 8294 |
| 17 | 7396 |
| 18 | 11739 |
| 19 | 3752 |
| 20 | 5966 |
| 21 | 8840 |
| 22 | 6289 |